(1)
Below is a relaxed structure of Ta2MoRh, with properties calculated at the PBE level.

Calculated values
Total magnetization, μB per cell: 0.00
Space-group type: P2/m, No. 10
VASP energy, eV/atom: -10.653

a b c (Å): 2.8032 4.4075 5.4227
angles (deg): 90.00 99.18 90.00
Last column: nearest neighbours and their distance in Å.
Fractional positions:
Ta1 0.2349 0.0000 0.2548  2 Mo 2.71, 2 Rh 2.76, 4 Ta 2.80-2.86
Ta2 0.7651 0.0000 0.7452  2 Mo 2.71, 2 Rh 2.76, 4 Ta 2.80-2.86
Mo1 0.0000 0.5000 0.5000  4 Ta 2.71, 2 Mo 2.80, 2 Rh 2.85
Rh1 0.5000 0.5000 0.0000  4 Ta 2.76, 2 Rh 2.80, 2 Mo 2.85

(2)
Below is a relaxed structure of Ta2MoRh, with properties calculated at the PBE level.

Calculated values
Total magnetization, μB per cell: 0.00
Space-group type: P4mm, No. 99
VASP energy, eV/atom: -10.565

a b c (Å): 2.7909 2.7909 8.5764
angles (deg): 90.00 90.00 90.00
Last column: nearest neighbours and their distance in Å.
Fractional positions:
Ta1 0.0000 0.0000 0.0000  8 Ta 2.79-3.07, 4 Rh 2.83
Ta2 0.5000 0.5000 0.2741  8 Ta 2.79-3.07, 4 Mo 3.04
Mo1 0.0000 0.0000 0.5442  4 Rh 2.72, 4 Mo 2.79, 4 Ta 3.04
Rh1 0.5000 0.5000 0.7628  4 Mo 2.72, 4 Rh 2.79, 4 Ta 2.83

(3)
Below is a relaxed structure of TaMo2Rh, with properties calculated at the PBE level.

Calculated values
Total magnetization, μB per cell: 0.00
Space-group type: Immm, No. 71
VASP energy, eV/atom: -10.294

a b c (Å): 5.2345 5.2345 5.2345
angles (deg): 142.94 131.09 62.92
Last column: nearest neighbours and their distance in Å.
Fractional positions:
Ta1 0.0000 0.0000 0.0000  4 Mo 2.72, 4 Rh 2.73
Mo1 0.2416 0.7416 0.5000  2 Ta 2.72, 4 Mo 2.74, 2 Rh 2.84
Mo2 0.7584 0.2584 0.5000  2 Ta 2.72, 4 Mo 2.74, 2 Rh 2.84
Rh1 0.5000 0.5000 0.0000  4 Ta 2.73, 8 Mo 2.84-3.06

(4)
Below is a relaxed structure of Ta2MoRh, with properties calculated at the PBE level.

Calculated values
Total magnetization, μB per cell: 0.00
Space-group type: R3m, No. 160
VASP energy, eV/atom: -10.398

a b c (Å): 9.7163 9.7163 9.7163
angles (deg): 16.85 16.85 16.85
Last column: nearest neighbours and their distance in Å.
Fractional positions:
Ta1 0.0000 0.0000 0.0000  3 Rh 2.82, 9 Ta 2.85-3.08
Ta2 0.2427 0.2427 0.2427  9 Ta 2.85-3.08, 3 Mo 3.00
Mo1 0.4888 0.4888 0.4888  3 Rh 2.73, 6 Mo 2.85, 3 Ta 3.00
Rh1 0.7464 0.7464 0.7464  3 Mo 2.73, 3 Ta 2.82, 6 Rh 2.85

(5)
Below is a relaxed structure of Ta2MoRh, with properties calculated at the PBE level.

Calculated values
Total magnetization, μB per cell: 0.00
Space-group type: C2/m, No. 12
VASP energy, eV/atom: -10.661

a b c (Å): 5.2548 5.2548 2.8018
angles (deg): 100.77 100.77 114.42
Last column: nearest neighbours and their distance in Å.
Fractional positions:
Ta1 0.0000 0.5000 0.0000  2 Mo 2.74, 2 Rh 2.74, 4 Ta 2.80-2.85
Ta2 0.5000 0.0000 0.0000  2 Mo 2.74, 2 Rh 2.74, 4 Ta 2.80-2.85
Mo1 0.0000 0.0000 0.5000  4 Ta 2.74, 2 Mo 2.80, 2 Rh 2.85
Rh1 0.5000 0.5000 0.5000  4 Ta 2.74, 2 Rh 2.80, 2 Mo 2.85

(6)
Below is a relaxed structure of TaMoRh2, with properties calculated at the PBE level.

Calculated values
Total magnetization, μB per cell: 0.00
Space-group type: P4/mmm, No. 123
VASP energy, eV/atom: -9.701

a b c (Å): 3.9709 3.9709 3.9013
angles (deg): 90.00 90.00 90.00
Last column: nearest neighbours and their distance in Å.
Fractional positions:
Ta1 0.0000 0.0000 0.0000  8 Rh 2.78, 4 Mo 2.81
Mo1 0.5000 0.5000 0.0000  8 Rh 2.78, 4 Ta 2.81
Rh1 0.0000 0.5000 0.5000  4 Mo 2.78, 4 Ta 2.78, 4 Rh 2.81
Rh2 0.5000 0.0000 0.5000  4 Mo 2.78, 4 Ta 2.78, 4 Rh 2.81

(7)
Below is a relaxed structure of TaMoRh2, with properties calculated at the PBE level.

Calculated values
Total magnetization, μB per cell: 0.00
Space-group type: P4/mmm, No. 123
VASP energy, eV/atom: -9.474

a b c (Å): 3.3738 3.3738 5.5372
angles (deg): 90.00 90.00 90.00
Last column: nearest neighbours and their distance in Å.
Fractional positions:
Ta1 0.0000 0.0000 0.0000  8 Rh 2.77, 2 Mo 2.77
Mo1 0.0000 0.0000 0.5000  8 Rh 2.75, 2 Ta 2.77
Rh1 0.5000 0.5000 0.2529  2 Rh 2.74-2.80, 4 Mo 2.75, 4 Ta 2.77
Rh2 0.5000 0.5000 0.7471  2 Rh 2.74-2.80, 4 Mo 2.75, 4 Ta 2.77

(8)
Below is a relaxed structure of TaMo2Rh, with properties calculated at the PBE level.

Calculated values
Total magnetization, μB per cell: 0.00
Space-group type: I-42d, No. 122
VASP energy, eV/atom: -9.696

a b c (Å): 5.7896 5.7896 5.7896
angles (deg): 101.53 101.53 126.89
Last column: nearest neighbours and their distance in Å.
Fractional positions:
Ta1 0.0000 0.0000 0.0000  2 Rh 2.59, 4 Mo 2.76
Ta2 0.7500 0.2500 0.5000  2 Rh 2.59, 4 Mo 2.76
Mo1 0.1430 0.6250 0.0180  2 Rh 2.58, 2 Mo 2.60, 2 Ta 2.76
Mo2 0.3750 0.3930 0.5180  2 Rh 2.58, 2 Mo 2.60, 2 Ta 2.76
Mo3 0.6070 0.1250 0.9820  2 Rh 2.58, 2 Mo 2.60, 2 Ta 2.76
Mo4 0.8750 0.8570 0.4820  2 Rh 2.58, 2 Mo 2.60, 2 Ta 2.76
Rh1 0.2500 0.7500 0.5000  4 Mo 2.58, 2 Ta 2.59
Rh2 0.5000 0.5000 0.0000  4 Mo 2.58, 2 Ta 2.59

(9)
Below is a relaxed structure of Ta2MoRh2, with properties calculated at the PBE level.

Calculated values
Total magnetization, μB per cell: 0.00
Space-group type: P4/mbm, No. 127
VASP energy, eV/atom: -9.996

a b c (Å): 7.5100 7.5100 2.9389
angles (deg): 90.00 90.00 90.00
Last column: nearest neighbours and their distance in Å.
Fractional positions:
Ta1 0.1702 0.3298 0.0000  6 Rh 2.58-2.71
Ta2 0.3298 0.8298 0.0000  6 Rh 2.58-2.71
Ta3 0.6702 0.1702 0.0000  6 Rh 2.58-2.71
Ta4 0.8298 0.6702 0.0000  6 Rh 2.58-2.71
Mo1 0.0000 0.0000 0.5000  2 Mo 2.94, 4 Rh 2.95, 8 Ta 3.15
Mo2 0.5000 0.5000 0.5000  2 Mo 2.94, 4 Rh 2.95, 8 Ta 3.15
Rh1 0.1298 0.6298 0.5000  6 Ta 2.58-2.71, 1 Rh 2.76
Rh2 0.3702 0.1298 0.5000  6 Ta 2.58-2.71, 1 Rh 2.76
Rh3 0.6298 0.8702 0.5000  6 Ta 2.58-2.71, 1 Rh 2.76
Rh4 0.8702 0.3702 0.5000  6 Ta 2.58-2.71, 1 Rh 2.76

(10)
Below is a relaxed structure of Ta2MoRh, with properties calculated at the PBE level.

Calculated values
Total magnetization, μB per cell: 0.00
Space-group type: F-43m, No. 216
VASP energy, eV/atom: -10.532

a b c (Å): 4.5392 4.5392 4.5392
angles (deg): 60.00 60.00 60.00
Last column: nearest neighbours and their distance in Å.
Fractional positions:
Ta1 0.0000 0.0000 0.0000  4 Ta 2.78, 4 Rh 2.78
Ta2 0.2500 0.2500 0.2500  4 Mo 2.78, 4 Ta 2.78
Mo1 0.5000 0.5000 0.5000  4 Rh 2.78, 4 Ta 2.78
Rh1 0.7500 0.7500 0.7500  4 Mo 2.78, 4 Ta 2.78

(11)
Below is a relaxed structure of Ta3Mo2Rh, with properties calculated at the PBE level.

Calculated values
Total magnetization, μB per cell: 0.00
Space-group type: P4/mmm, No. 123
VASP energy, eV/atom: -11.064

a b c (Å): 3.2353 3.2353 9.5788
angles (deg): 90.00 90.00 90.00
Last column: nearest neighbours and their distance in Å.
Fractional positions:
Ta1 0.0000 0.0000 0.0000  8 Mo 2.81
Ta2 0.0000 0.0000 0.3302  4 Mo 2.75, 4 Rh 2.81
Ta3 0.0000 0.0000 0.6698  4 Mo 2.75, 4 Rh 2.81
Mo1 0.5000 0.5000 0.1710  8 Ta 2.75-2.81
Mo2 0.5000 0.5000 0.8290  8 Ta 2.75-2.81
Rh1 0.5000 0.5000 0.5000  8 Ta 2.81

(12)
Below is a relaxed structure of TaMo2Rh, with properties calculated at the PBE level.

Calculated values
Total magnetization, μB per cell: 0.00
Space-group type: R-3m, No. 166
VASP energy, eV/atom: -10.073

a b c (Å): 9.6816 9.6816 9.6816
angles (deg): 16.65 16.65 16.65
Last column: nearest neighbours and their distance in Å.
Fractional positions:
Ta1 0.0000 0.0000 0.0000  6 Ta 2.80, 6 Mo 3.02
Mo1 0.2444 0.2444 0.2444  3 Rh 2.75, 6 Mo 2.80, 3 Ta 3.02
Mo2 0.7556 0.7556 0.7556  3 Rh 2.75, 6 Mo 2.80, 3 Ta 3.02
Rh1 0.5000 0.5000 0.5000  6 Mo 2.75, 6 Rh 2.80

(13)
Below is a relaxed structure of Ta2MoRh, with properties calculated at the PBE level.

Calculated values
Total magnetization, μB per cell: 0.00
Space-group type: Immm, No. 71
VASP energy, eV/atom: -10.626

a b c (Å): 5.1749 5.1749 5.1749
angles (deg): 142.77 126.39 67.08
Last column: nearest neighbours and their distance in Å.
Fractional positions:
Ta1 0.2487 0.2487 0.0000  2 Mo 2.71, 2 Rh 2.73, 4 Ta 2.86
Ta2 0.7513 0.7513 0.0000  2 Mo 2.71, 2 Rh 2.73, 4 Ta 2.86
Mo1 0.0000 0.5000 0.5000  4 Ta 2.71, 4 Rh 2.86
Rh1 0.5000 0.0000 0.5000  4 Ta 2.73, 4 Mo 2.86

(14)
Below is a relaxed structure of TaMoRh2, with properties calculated at the PBE level.

Calculated values
Total magnetization, μB per cell: 0.00
Space-group type: Pm, No. 6
VASP energy, eV/atom: -9.652

a b c (Å): 2.8123 4.4991 4.8749
angles (deg): 90.00 90.20 90.00
Last column: nearest neighbours and their distance in Å.
Fractional positions:
Ta1 0.0000 0.0000 0.0000  8 Rh 2.73-2.82, 2 Ta 2.81, 2 Mo 2.86
Mo1 0.9921 0.5000 0.3636  8 Rh 2.73-2.84, 2 Mo 2.81, 2 Ta 2.86
Rh1 0.4948 0.5000 0.8602  4 Ta 2.73-2.75, 4 Mo 2.80-2.84, 4 Rh 2.81-2.85
Rh2 0.4980 0.0000 0.4998  4 Mo 2.73-2.74, 4 Ta 2.81-2.82, 4 Rh 2.81-2.85

(15)
Below is a relaxed structure of TaMo2Rh, with properties calculated at the PBE level.

Calculated values
Total magnetization, μB per cell: 0.00
Space-group type: Fm-3m, No. 225
VASP energy, eV/atom: -10.117

a b c (Å): 4.4985 4.4985 4.4985
angles (deg): 60.00 60.00 60.00
Last column: nearest neighbours and their distance in Å.
Fractional positions:
Ta1 0.0000 0.0000 0.0000  8 Mo 2.75
Mo1 0.2500 0.2500 0.2500  4 Rh 2.75, 4 Ta 2.75
Mo2 0.7500 0.7500 0.7500  4 Rh 2.75, 4 Ta 2.75
Rh1 0.5000 0.5000 0.5000  8 Mo 2.75

(16)
Below is a relaxed structure of TaMo2Rh, with properties calculated at the PBE level.

Calculated values
Total magnetization, μB per cell: 0.00
Space-group type: R3m, No. 160
VASP energy, eV/atom: -10.096

a b c (Å): 9.6624 9.6624 9.6624
angles (deg): 16.67 16.67 16.67
Last column: nearest neighbours and their distance in Å.
Fractional positions:
Ta1 0.0000 0.0000 0.0000  6 Ta 2.80, 3 Rh 2.82, 3 Mo 3.01
Mo1 0.2443 0.2443 0.2443  9 Mo 2.80-2.94, 3 Ta 3.01
Mo2 0.4915 0.4915 0.4915  3 Rh 2.74, 9 Mo 2.80-2.94
Rh1 0.7475 0.7475 0.7475  3 Mo 2.74, 6 Rh 2.80, 3 Ta 2.82

(17)
Below is a relaxed structure of TaMoRh, with properties calculated at the PBE level.

Calculated values
Total magnetization, μB per cell: 0.00
Space-group type: F-43m, No. 216
VASP energy, eV/atom: -9.534

a b c (Å): 4.3020 4.3020 4.3020
angles (deg): 60.00 60.00 60.00
Last column: nearest neighbours and their distance in Å.
Fractional positions:
Ta1 0.0000 0.0000 0.0000  4 Rh 2.63
Mo1 0.5000 0.5000 0.5000  4 Rh 2.63
Rh1 0.7500 0.7500 0.7500  4 Ta 2.63, 4 Mo 2.63

(18)
Below is a relaxed structure of TaMoRh3, with properties calculated at the PBE level.

Calculated values
Total magnetization, μB per cell: 4.00
Space-group type: Pm-3m, No. 221
VASP energy, eV/atom: -7.738

a b c (Å): 4.6860 4.6860 4.6860
angles (deg): 90.00 90.00 90.00
Last column: nearest neighbours and their distance in Å.
Fractional positions:
Ta1 0.0000 0.0000 0.0000  6 Rh 2.34
Mo1 0.5000 0.5000 0.5000  12 Rh 3.31
Rh1 0.0000 0.0000 0.5000  2 Ta 2.34
Rh2 0.0000 0.5000 0.0000  2 Ta 2.34
Rh3 0.5000 0.0000 0.0000  2 Ta 2.34

(19)
Below is a relaxed structure of TaMo2Rh, with properties calculated at the PBE level.

Calculated values
Total magnetization, μB per cell: 0.00
Space-group type: C2/m, No. 12
VASP energy, eV/atom: -10.297

a b c (Å): 5.2824 5.2824 2.7513
angles (deg): 99.45 99.45 118.39
Last column: nearest neighbours and their distance in Å.
Fractional positions:
Ta1 0.0000 0.0000 0.0000  2 Rh 2.71, 2 Ta 2.75, 4 Mo 2.77
Mo1 0.0000 0.5000 0.5000  4 Mo 2.71-2.75, 2 Ta 2.77, 2 Rh 2.77
Mo2 0.5000 0.0000 0.5000  4 Mo 2.71-2.75, 2 Ta 2.77, 2 Rh 2.77
Rh1 0.5000 0.5000 0.0000  2 Ta 2.71, 2 Rh 2.75, 4 Mo 2.77

(20)
Below is a relaxed structure of Ta2MoRh9, with properties calculated at the PBE level.

Calculated values
Total magnetization, μB per cell: 0.00
Space-group type: P4/mmm, No. 123
VASP energy, eV/atom: -8.865

a b c (Å): 3.8869 3.8869 11.6692
angles (deg): 90.00 90.00 90.00
Last column: nearest neighbours and their distance in Å.
Fractional positions:
Ta1 0.0000 0.0000 0.1655  12 Rh 2.74-2.79
Ta2 0.0000 0.0000 0.8345  12 Rh 2.74-2.79
Mo1 0.0000 0.0000 0.5000  12 Rh 2.72-2.75
Rh1 0.0000 0.5000 0.0000  4 Ta 2.74, 8 Rh 2.75-2.76
Rh2 0.0000 0.5000 0.3369  2 Mo 2.72, 8 Rh 2.72-2.77, 2 Ta 2.79
Rh3 0.0000 0.5000 0.6631  2 Mo 2.72, 8 Rh 2.72-2.77, 2 Ta 2.79
Rh4 0.5000 0.0000 0.0000  4 Ta 2.74, 8 Rh 2.75-2.76
Rh5 0.5000 0.0000 0.3369  2 Mo 2.72, 8 Rh 2.72-2.77, 2 Ta 2.79
Rh6 0.5000 0.0000 0.6631  2 Mo 2.72, 8 Rh 2.72-2.77, 2 Ta 2.79
Rh7 0.5000 0.5000 0.1683  4 Ta 2.75, 8 Rh 2.76-2.77
Rh8 0.5000 0.5000 0.5000  8 Rh 2.72, 4 Mo 2.75
Rh9 0.5000 0.5000 0.8317  4 Ta 2.75, 8 Rh 2.76-2.77